# 1
! Ho8Er2Th3, relaxed, DFT PBE-GGA; values from VASP
&SYSTEM
  ibrav = 0, nat = 13, ntyp = 3
/
ATOMIC_SPECIES
Ho 164.93 Ho.upf
Er 167.26 Er.upf
Th 232.04 Th.upf
CELL_PARAMETERS angstrom
-2.799 3.383 11.021
2.799 -3.383 11.021
2.799 3.383 -11.021
ATOMIC_POSITIONS angstrom
Ho 0.000 0.000 1.655
Ho 2.799 1.611 -3.335
Ho 2.799 0.000 6.936
Ho 2.799 1.611 3.335
Ho 0.000 1.772 7.685
Ho 0.000 3.383 4.084
Ho 0.000 1.772 14.356
Ho 0.000 0.000 20.386
Er 0.000 0.000 4.923
Er 0.000 0.000 17.118
Th 2.799 1.570 0.000
Th 0.000 3.383 0.000
Th 0.000 1.814 11.021
! * excess energy over the best structure of this formula in the dataset: 0.0000 eV per atom
! * energy of formation: 0.16 eV per atom

=====

# 2
! CuAg2Br, relaxed, DFT PBE-GGA; values from VASP
&SYSTEM
  ibrav = 0, nat = 4, ntyp = 3
/
ATOMIC_SPECIES
Cu 63.55 Cu.upf
Ag 107.87 Ag.upf
Br 79.90 Br.upf
CELL_PARAMETERS angstrom
3.381 0.000 0.000
0.000 3.430 0.000
-0.066 0.000 7.091
ATOMIC_POSITIONS angstrom
Cu 0.000 0.000 0.000
Ag 1.624 1.715 5.730
Ag 1.692 1.715 1.361
Br 1.658 0.000 3.546
! * formation energy (no corrections): 8.93 kJ/mol of atoms
! * excess energy over the best structure of this formula in the dataset: 0.0568 eV per atom

=====

# 3
! Ac2CdGa3Pt4, relaxed, DFT PBE-GGA; values from VASP
&SYSTEM
  ibrav = 0, nat = 10, ntyp = 4
/
ATOMIC_SPECIES
Ac 227.00 Ac.upf
Cd 112.41 Cd.upf
Ga 69.72 Ga.upf
Pt 195.08 Pt.upf
CELL_PARAMETERS angstrom
4.424 0.000 0.000
0.000 4.424 0.000
0.000 0.000 10.977
ATOMIC_POSITIONS angstrom
Ac 0.000 2.212 2.676
Ac 2.212 0.000 8.301
Cd 0.000 0.000 5.488
Ga 0.000 2.212 9.685
Ga 2.212 0.000 1.292
Ga 2.212 2.212 5.488
Pt 0.000 0.000 0.000
Pt 0.000 2.212 7.143
Pt 2.212 0.000 3.833
Pt 2.212 2.212 0.000
! * energy of formation: -0.89 eV per atom

=====

# 4
! Dy2Tm2Ag, relaxed, DFT PBE-GGA; values from VASP
&SYSTEM
  ibrav = 0, nat = 5, ntyp = 3
/
ATOMIC_SPECIES
Dy 162.50 Dy.upf
Tm 168.93 Tm.upf
Ag 107.87 Ag.upf
CELL_PARAMETERS angstrom
-1.756 1.756 11.361
1.756 -1.756 11.361
1.756 1.756 -11.361
ATOMIC_POSITIONS angstrom
Dy 0.000 0.000 4.429
Dy 0.000 0.000 18.293
Tm 0.000 0.000 9.478
Tm 0.000 0.000 13.243
Ag 0.000 0.000 0.000
! * energy of formation: -0.11 eV per atom

=====

# 5
! TaZnOF2, relaxed, DFT PBE-GGA; values from VASP
&SYSTEM
  ibrav = 0, nat = 5, ntyp = 4
/
ATOMIC_SPECIES
Ta 180.95 Ta.upf
Zn 65.41 Zn.upf
O 16.00 O.upf
F 19.00 F.upf
CELL_PARAMETERS angstrom
4.289 0.000 0.000
0.000 4.289 0.000
0.000 0.000 3.919
ATOMIC_POSITIONS angstrom
Ta 0.000 0.000 0.000
Zn 2.145 2.145 1.959
O 0.000 0.000 1.959
F 0.000 2.145 0.000
F 2.145 0.000 0.000
! * formation energy (no corrections): -172.15 kJ/mol of atoms
! * excess energy over the best structure of this formula in the dataset: 0.0000 eV per atom

=====

# 6
! CuSi3Tc, relaxed, DFT PBE-GGA; values from VASP
&SYSTEM
  ibrav = 0, nat = 5, ntyp = 3
/
ATOMIC_SPECIES
Cu 63.55 Cu.upf
Si 28.09 Si.upf
Tc 98.00 Tc.upf
CELL_PARAMETERS angstrom
4.645 0.000 0.000
0.000 4.645 0.000
0.000 0.000 4.645
ATOMIC_POSITIONS angstrom
Cu 0.000 0.000 0.000
Si 0.000 2.323 2.323
Si 2.323 0.000 2.323
Si 2.323 2.323 0.000
Tc 2.323 2.323 2.323
! * formation energy (no corrections): 56.75 kJ/mol of atoms
! * excess energy over the best structure of this formula in the dataset: 0.0000 eV per atom

=====

# 7
! Ca3Mg3Ag2, relaxed, DFT PBE-GGA; values from VASP
&SYSTEM
  ibrav = 0, nat = 32, ntyp = 3
/
ATOMIC_SPECIES
Ca 40.08 Ca.upf
Mg 24.30 Mg.upf
Ag 107.87 Ag.upf
CELL_PARAMETERS angstrom
8.408 0.000 0.000
0.000 17.153 0.000
0.000 0.000 6.063
ATOMIC_POSITIONS angstrom
Ca 0.272 1.890 0.647
Ca 0.272 6.687 0.647
Ca 1.388 4.288 3.883
Ca 2.816 12.864 0.851
Ca 3.932 10.466 3.679
Ca 3.932 15.263 3.679
Ca 4.476 1.890 2.384
Ca 4.476 6.687 2.384
Ca 5.592 4.288 5.212
Ca 7.020 12.864 2.180
Ca 8.137 10.466 5.416
Ca 8.137 15.263 5.416
Mg 1.475 0.572 3.633
Mg 1.475 8.005 3.633
Mg 1.477 12.864 3.859
Mg 2.727 4.288 0.828
Mg 2.729 9.148 0.601
Mg 2.729 16.581 0.601
Mg 5.679 0.572 5.462
Mg 5.679 8.005 5.462
Mg 5.681 12.864 5.236
Mg 6.931 4.288 2.204
Mg 6.933 9.148 2.430
Mg 6.933 16.581 2.430
Ag 0.994 10.525 2.349
Ag 0.994 15.204 2.349
Ag 3.210 1.949 5.381
Ag 3.210 6.628 5.381
Ag 5.198 10.525 0.682
Ag 5.198 15.204 0.682
Ag 7.414 1.949 3.714
Ag 7.414 6.628 3.714
! * energy of formation: -0.21 eV per atom

=====

# 8
! PrAgAsAu, relaxed, DFT PBE-GGA; values from VASP
&SYSTEM
  ibrav = 0, nat = 4, ntyp = 4
/
ATOMIC_SPECIES
Pr 140.91 Pr.upf
Ag 107.87 Ag.upf
As 74.92 As.upf
Au 196.97 Au.upf
CELL_PARAMETERS angstrom
0.000 3.551 3.551
3.551 0.000 3.551
3.551 3.551 0.000
ATOMIC_POSITIONS angstrom
Pr 0.000 0.000 0.000
Ag 3.551 3.551 3.551
As 5.327 5.327 5.327
Au 1.776 1.776 1.776
! * energy of formation: -0.56 eV per atom

=====

# 9
! PmTh2P3, relaxed, DFT PBE-GGA; values from VASP
&SYSTEM
  ibrav = 0, nat = 6, ntyp = 3
/
ATOMIC_SPECIES
Pm 145.00 Pm.upf
Th 232.04 Th.upf
P 30.97 P.upf
CELL_PARAMETERS angstrom
-2.067 2.923 6.221
2.067 -2.923 6.221
2.067 2.923 -6.221
ATOMIC_POSITIONS angstrom
Pm 0.000 0.000 0.000
Th 0.000 0.000 4.158
Th 0.000 0.000 8.283
P 2.067 0.000 2.088
P 0.000 2.923 0.000
P 0.000 2.923 4.133
! * energy of formation: -1.57 eV per atom

=====

# 10
! SbAsC, relaxed, DFT PBE-GGA; values from VASP
&SYSTEM
  ibrav = 0, nat = 6, ntyp = 3
/
ATOMIC_SPECIES
Sb 121.76 Sb.upf
As 74.92 As.upf
C 12.01 C.upf
CELL_PARAMETERS angstrom
4.689 0.000 0.000
0.000 4.012 0.000
-0.448 0.000 7.093
ATOMIC_POSITIONS angstrom
Sb 0.000 0.000 0.000
Sb 0.013 2.006 2.674
As 1.769 0.000 5.049
As 2.880 0.000 2.598
C 2.875 1.343 5.995
C 2.875 2.669 5.995
! * formation energy (no corrections): 55.72 kJ/mol of atoms
! * excess energy over the best structure of this formula in the dataset: 0.0556 eV per atom

=====

# 11
! CsHgSe3, relaxed, DFT PBE-GGA; values from VASP
&SYSTEM
  ibrav = 0, nat = 5, ntyp = 3
/
ATOMIC_SPECIES
Cs 132.91 Cs.upf
Hg 200.59 Hg.upf
Se 78.96 Se.upf
CELL_PARAMETERS angstrom
6.152 0.000 0.000
0.000 6.152 0.000
0.000 0.000 6.152
ATOMIC_POSITIONS angstrom
Cs 0.000 0.000 0.000
Hg 3.076 3.076 3.076
Se 0.000 0.000 3.076
Se 0.000 3.076 0.000
Se 3.076 0.000 0.000
! * formation energy (no corrections): 90.35 kJ/mol of atoms
! * excess energy over the best structure of this formula in the dataset: 0.9858 eV per atom

=====

# 12
! LiTb2YTe4, relaxed, DFT PBE-GGA; values from VASP
&SYSTEM
  ibrav = 0, nat = 8, ntyp = 4
/
ATOMIC_SPECIES
Li 6.94 Li.upf
Tb 158.93 Tb.upf
Y 88.91 Y.upf
Te 127.60 Te.upf
CELL_PARAMETERS angstrom
7.538 0.000 0.000
0.000 4.328 0.000
-2.477 0.000 7.120
ATOMIC_POSITIONS angstrom
Li 0.000 0.000 0.000
Tb -1.238 2.164 3.560
Tb 2.530 0.000 3.560
Y 3.769 2.164 0.000
Te 1.224 2.164 1.717
Te -0.027 0.000 5.384
Te 5.088 0.000 1.736
Te 3.837 2.164 5.403
! * formation energy (no corrections): -127.96 kJ/mol of atoms

=====

# 13
! Tb2YThSe4, relaxed, DFT PBE-GGA; values from VASP
&SYSTEM
  ibrav = 0, nat = 8, ntyp = 4
/
ATOMIC_SPECIES
Tb 158.93 Tb.upf
Y 88.91 Y.upf
Th 232.04 Th.upf
Se 78.96 Se.upf
CELL_PARAMETERS angstrom
7.145 0.000 0.000
0.000 4.086 0.000
-2.350 0.000 6.793
ATOMIC_POSITIONS angstrom
Tb 0.000 0.000 0.000
Tb -1.175 2.043 3.396
Y 2.397 0.000 3.396
Th 3.572 2.043 0.000
Se -0.013 0.000 5.035
Se 1.164 2.043 1.729
Se 3.630 2.043 5.063
Se 4.808 0.000 1.757
! * formation energy (no corrections): -163.89 kJ/mol of atoms

=====

# 14
! La4SiPt4, relaxed, DFT PBE-GGA; values from VASP
&SYSTEM
  ibrav = 0, nat = 18, ntyp = 3
/
ATOMIC_SPECIES
La 138.91 La.upf
Si 28.09 Si.upf
Pt 195.08 Pt.upf
CELL_PARAMETERS angstrom
8.498 0.000 0.000
0.000 8.498 0.000
0.000 0.000 6.552
ATOMIC_POSITIONS angstrom
La 0.218 2.124 0.429
La 2.124 0.218 3.705
La 2.124 4.031 3.705
La 4.031 2.124 0.429
La 4.467 6.373 6.124
La 6.373 4.467 2.847
La 6.373 8.280 2.847
La 8.280 6.373 6.124
Si 2.124 6.373 1.638
Si 6.373 2.124 4.914
Pt 0.170 6.373 3.090
Pt 2.124 4.419 0.187
Pt 2.124 8.327 0.187
Pt 4.079 6.373 3.090
Pt 4.419 2.124 3.463
Pt 6.373 0.170 6.366
Pt 6.373 4.079 6.366
Pt 8.327 2.124 3.463
! * formation energy (no corrections): -101.64 kJ/mol of atoms

=====

# 15
! Sr2AgHg4Pd3, relaxed, DFT PBE-GGA; values from VASP
&SYSTEM
  ibrav = 0, nat = 10, ntyp = 4
/
ATOMIC_SPECIES
Sr 87.62 Sr.upf
Ag 107.87 Ag.upf
Hg 200.59 Hg.upf
Pd 106.42 Pd.upf
CELL_PARAMETERS angstrom
4.406 0.000 0.000
0.000 4.406 0.000
0.000 0.000 12.454
ATOMIC_POSITIONS angstrom
Sr 0.000 2.203 2.950
Sr 2.203 0.000 9.503
Ag 0.000 0.000 6.227
Hg 0.000 0.000 0.000
Hg 0.000 2.203 7.978
Hg 2.203 0.000 4.476
Hg 2.203 2.203 0.000
Pd 0.000 2.203 10.666
Pd 2.203 0.000 1.788
Pd 2.203 2.203 6.227
! * energy of formation: -0.38 eV per atom

=====

# 16
! Ta2NiP, relaxed, DFT PBE-GGA; values from VASP
&SYSTEM
  ibrav = 0, nat = 4, ntyp = 3
/
ATOMIC_SPECIES
Ta 180.95 Ta.upf
Ni 58.69 Ni.upf
P 30.97 P.upf
CELL_PARAMETERS angstrom
1.774 1.024 5.753
-1.774 1.024 5.753
0.000 -2.049 5.753
ATOMIC_POSITIONS angstrom
Ta 0.000 0.000 0.000
Ta 0.000 0.000 3.700
Ni 0.000 0.000 13.246
P 0.000 0.000 7.755
! * energy of formation: -0.25 eV per atom

=====

# 17
! CoSiAg2, relaxed, DFT PBE-GGA; values from VASP
&SYSTEM
  ibrav = 0, nat = 4, ntyp = 3
/
ATOMIC_SPECIES
Co 58.93 Co.upf
Si 28.09 Si.upf
Ag 107.87 Ag.upf
CELL_PARAMETERS angstrom
2.869 0.000 0.000
0.000 2.869 0.000
0.000 0.000 7.155
ATOMIC_POSITIONS angstrom
Co 0.000 0.000 0.000
Si 1.435 1.435 1.045
Ag 0.000 0.000 3.006
Ag 1.435 1.435 5.180
! * formation energy (no corrections): 1.97 kJ/mol of atoms

=====

# 18
! Th2Si3Ni12Ir, relaxed, DFT PBE-GGA; values from VASP
&SYSTEM
  ibrav = 0, nat = 18, ntyp = 4
/
ATOMIC_SPECIES
Th 232.04 Th.upf
Si 28.09 Si.upf
Ni 58.69 Ni.upf
Ir 192.22 Ir.upf
CELL_PARAMETERS angstrom
3.848 2.222 5.543
-3.848 2.222 5.543
0.000 -4.444 5.543
ATOMIC_POSITIONS angstrom
Th 0.000 0.000 1.915
Th 0.000 0.000 14.714
Si -1.924 -1.111 5.543
Si -1.924 1.111 11.086
Si 0.000 2.222 5.543
Ni -1.986 -1.147 7.729
Ni 0.000 -2.043 4.864
Ni -1.769 1.022 4.864
Ni 0.000 -2.293 8.901
Ni -1.986 1.147 8.901
Ni -1.769 -1.022 11.766
Ni 1.769 1.022 4.864
Ni 1.986 -1.147 7.729
Ni 0.000 2.293 7.729
Ni 1.769 -1.022 11.766
Ni 0.000 2.043 11.766
Ni 1.986 1.147 8.901
Ir 0.000 0.000 8.315
! * formation energy (no corrections): 5.87 kJ/mol of atoms

=====

# 19
! La2Nd6Zn, relaxed, DFT PBE-GGA; values from VASP
&SYSTEM
  ibrav = 0, nat = 9, ntyp = 3
/
ATOMIC_SPECIES
La 138.91 La.upf
Nd 144.24 Nd.upf
Zn 65.41 Zn.upf
CELL_PARAMETERS angstrom
3.793 0.000 0.000
0.000 8.329 4.811
0.000 -8.329 4.811
ATOMIC_POSITIONS angstrom
La 0.000 -5.551 4.811
La 0.000 5.551 4.811
Nd 0.000 -2.113 3.588
Nd 0.000 2.113 3.588
Nd 0.000 0.000 7.258
Nd 1.896 0.000 1.147
Nd 1.896 -3.170 6.641
Nd 1.896 3.170 6.641
Zn 1.896 0.000 4.815
! * excess energy over the best structure of this formula in the dataset: 0.0000 eV per atom
! * energy of formation: -0.03 eV per atom

=====

# 20
! GeBr2Cl, relaxed, DFT PBE-GGA; values from VASP
&SYSTEM
  ibrav = 0, nat = 4, ntyp = 3
/
ATOMIC_SPECIES
Ge 72.64 Ge.upf
Br 79.90 Br.upf
Cl 35.45 Cl.upf
CELL_PARAMETERS angstrom
0.000 3.626 3.626
3.626 0.000 3.626
3.626 3.626 0.000
ATOMIC_POSITIONS angstrom
Ge 0.000 0.000 0.000
Br 1.813 1.813 1.813
Br 5.439 5.439 5.439
Cl 3.626 3.626 3.626
! * formation energy (no corrections): 9.71 kJ/mol of atoms
! * excess energy over the best structure of this formula in the dataset: 0.4063 eV per atom